Record 1
## Ta4TeBr (PBE)

Data for a relaxed structure of Ta4TeBr.

extended XYZ file:
```
6
Lattice="0.785 -1.933 5.243 -1.228 3.275 4.428 -4.447 -1.209 3.256" Properties=species:S:1:pos:R:3 pbc="T T T"
Ta -1.423 -0.934 7.487
Ta -4.087 -0.566 6.476
Ta -2.448 1.717 7.072
Ta -1.823 0.050 4.818
Te -3.668 0.100 9.695
Br 0.000 0.000 0.000
```

Energy relative to the elements, uncorrected   841 meV per atom
SG   F-43m

***

Record 2
## HoEr2PaAs4 (PBE)

Data for a relaxed structure of HoEr2PaAs4.

extended XYZ file:
```
8
Lattice="-0.473 -3.911 1.109 7.002 -0.658 0.663 1.909 1.643 6.605" Properties=species:S:1:pos:R:3 pbc="T T T"
Ho 4.456 0.492 3.634
Er 1.909 1.643 6.605
Er 0.718 -1.134 3.857
Pa 3.265 -2.285 0.886
As 6.687 0.739 5.453
As 1.751 -3.665 2.924
As 5.485 -2.042 2.688
As 2.954 -0.884 5.689
```

SG   P2/m
Formation energy from the elements   -1404 meV per atom

***

Record 3
## Te2WBr (PBE)

Data for a relaxed structure of Te2WBr.

extended XYZ file:
```
4
Lattice="-4.981 -5.309 1.871 -0.259 -7.412 -1.219 3.123 6.305 2.642" Properties=species:S:1:pos:R:3 pbc="T T T"
Te -0.088 -0.214 0.011
Te -1.707 -1.390 2.353
Br -0.353 -4.887 0.934
W -2.589 -6.285 0.322
```

Energy relative to the elements, uncorrected   361 meV per atom
SG   Imm2
Energy above the most stable polymorph in this dataset   290 meV/atom

***

Record 4
## SrZrCoIr2 (PBE)

Data for a relaxed structure of SrZrCoIr2.

extended XYZ file:
```
5
Lattice="4.863 0.000 0.000 0.000 5.682 0.000 0.000 0.000 4.863" Properties=species:S:1:pos:R:3 pbc="T T T"
Sr 0.000 2.841 0.000
Ir 0.000 0.000 2.431
Ir 2.431 0.000 0.000
Co 2.431 2.841 2.431
Zr 0.000 0.000 0.000
```

SG   P4/mmm
Formation energy from the elements   1534 meV per atom

***

no.,Fermi-level density of states (states/eV/atom),size of the total moment (μB per formula unit)
1,1.005,0.00
2,0.671,0.19
3,0.840,0.00
4,1.327,1.84